Entry 1:
Below is CaLa2Os2 after structural relaxation, with properties calculated at the PBE level.

Cell lengths 8.5674, 8.5674, 3.2953 Å; angles 90.00, 90.00, 90.00 degrees
With the nearest neighbours (Å) after each atom.
Fractional coordinates of all 10 atoms:
Ca  0.0000  0.0000  0.0000  2 Ca 3.30, 4 La 3.33, 8 Os 3.58
Ca  0.5000  0.5000  0.0000  2 Ca 3.30, 4 La 3.33, 8 Os 3.58
Os  0.1714  0.6714  0.5000  6 La 2.87-3.12
Os  0.6714  0.8286  0.5000  6 La 2.87-3.12
Os  0.8286  0.3286  0.5000  6 La 2.87-3.12
Os  0.3286  0.1714  0.5000  6 La 2.87-3.12
La  0.3649  0.8649  0.0000  6 Os 2.87-3.12
La  0.8649  0.6351  0.0000  6 Os 2.87-3.12
La  0.6351  0.1351  0.0000  6 Os 2.87-3.12
La  0.1351  0.3649  0.0000  6 Os 2.87-3.12

Calculated values
Space-group type: P4/mbm (127)
Calculated total energy: -6.591 eV/atom
N(E_F): 5.291 states/eV/f.u.
E above lowest polymorph: 100 meV/atom
ΔE_f: 1.36 eV per formula unit


Entry 2:
Below is Ac6SiPt4 after structural relaxation, with properties calculated at the PBE level.

Cell lengths 4.4078, 7.5839, 22.2160 Å; angles 90.00, 90.00, 106.89 degrees
With the nearest neighbours (Å) after each atom.
Fractional coordinates of all 22 atoms:
Ac  0.5000  0.0000  0.0000  6 Pt 3.12-3.15
Ac  0.5000  0.0000  0.5000  6 Pt 3.12-3.15
Ac  0.0454  0.0907  0.3369  3 Pt 2.99-3.09, 2 Si 3.33
Ac  0.9546  0.9093  0.6631  3 Pt 2.99-3.09, 2 Si 3.33
Ac  0.9546  0.9093  0.8369  3 Pt 2.99-3.09, 2 Si 3.33
Ac  0.0454  0.0907  0.1631  3 Pt 2.99-3.09, 2 Si 3.33
Ac  0.7725  0.5449  0.4169  5 Pt 3.08-3.10
Ac  0.2275  0.4551  0.5831  5 Pt 3.08-3.10
Ac  0.2275  0.4551  0.9169  5 Pt 3.08-3.10
Ac  0.7725  0.5449  0.0831  5 Pt 3.08-3.10
Ac  0.3118  0.6236  0.2500  2 Pt 3.04, 2 Si 3.17
Ac  0.6882  0.3764  0.7500  2 Pt 3.04, 2 Si 3.17
Si  0.6546  0.3092  0.2500  6 Ac 3.17-3.33
Si  0.3454  0.6908  0.7500  6 Ac 3.17-3.33
Pt  0.8627  0.7254  0.5428  6 Ac 2.99-3.12
Pt  0.4059  0.8119  0.1278  6 Ac 3.04-3.15
Pt  0.1373  0.2746  0.4572  6 Ac 2.99-3.12
Pt  0.5941  0.1881  0.8722  6 Ac 3.04-3.15
Pt  0.8627  0.7254  0.9572  6 Ac 2.99-3.12
Pt  0.1373  0.2746  0.0428  6 Ac 2.99-3.12
Pt  0.5941  0.1881  0.6278  6 Ac 3.04-3.15
Pt  0.4059  0.8119  0.3722  6 Ac 3.04-3.15

Calculated values
Space-group type: Cmcm (63)
E_form (uncorrected): -968 meV/atom
Calculated total energy: -5.898 eV/atom
N(E_F): 6.039 states/eV/f.u.


Entry 3:
Below is TbBeSi2Rh after structural relaxation, with properties calculated at the PBE level.

Cell lengths 3.9033, 3.9033, 5.8295 Å; angles 109.56, 109.56, 90.00 degrees
With the nearest neighbours (Å) after each atom.
Fractional coordinates of all 5 atoms:
Tb  0.0000  0.0000  0.0000  8 Si 3.01, 4 Be 3.22, 4 Rh 3.22
Be  0.2500  0.7500  0.5000  4 Si 2.38
Si  0.6168  0.6168  0.2337  2 Be 2.38, 2 Rh 2.38, 1 Si 2.40
Si  0.3832  0.3832  0.7663  2 Be 2.38, 2 Rh 2.38, 1 Si 2.40
Rh  0.7500  0.2500  0.5000  4 Si 2.38

Calculated values
Space-group type: I-4m2 (119)
E_form (uncorrected): -788 meV/atom
Calculated total energy: -6.099 eV/atom
N(E_F): 1.916 states/eV/f.u.


Entry 4:
Below is Na2Cd11 after structural relaxation, with properties calculated at the PBE level.

Cell lengths 9.7359, 9.7359, 9.7359 Å; angles 90.00, 90.00, 90.00 degrees
With the nearest neighbours (Å) after each atom.
Fractional coordinates of all 39 atoms:
Na  0.5000  0.1999  0.0000  12 Cd 3.30-3.56
Na  0.5000  0.8001  0.0000  12 Cd 3.30-3.56
Na  0.0000  0.5000  0.1999  12 Cd 3.30-3.56
Na  0.0000  0.5000  0.8001  12 Cd 3.30-3.56
Na  0.1999  0.0000  0.5000  12 Cd 3.30-3.56
Na  0.8001  0.0000  0.5000  12 Cd 3.30-3.56
Cd  0.0000  0.0000  0.0000  12 Cd 3.03
Cd  0.7307  0.0000  0.1551  9 Cd 2.89-3.22
Cd  0.2693  0.0000  0.8449  9 Cd 2.89-3.22
Cd  0.2693  0.0000  0.1551  9 Cd 2.89-3.22
Cd  0.7307  0.0000  0.8449  9 Cd 2.89-3.22
Cd  0.1551  0.7307  0.0000  9 Cd 2.89-3.22
Cd  0.8449  0.2693  0.0000  9 Cd 2.89-3.22
Cd  0.1551  0.2693  0.0000  9 Cd 2.89-3.22
Cd  0.8449  0.7307  0.0000  9 Cd 2.89-3.22
Cd  0.0000  0.1551  0.7307  9 Cd 2.89-3.22
Cd  0.0000  0.8449  0.2693  9 Cd 2.89-3.22
Cd  0.0000  0.1551  0.2693  9 Cd 2.89-3.22
Cd  0.0000  0.8449  0.7307  9 Cd 2.89-3.22
Cd  0.5000  0.2677  0.5000  10 Cd 3.01-3.20
Cd  0.5000  0.7323  0.5000  10 Cd 3.01-3.20
Cd  0.5000  0.5000  0.2677  10 Cd 3.01-3.20
Cd  0.5000  0.5000  0.7323  10 Cd 3.01-3.20
Cd  0.2677  0.5000  0.5000  10 Cd 3.01-3.20
Cd  0.7323  0.5000  0.5000  10 Cd 3.01-3.20
Cd  0.0000  0.3415  0.5000  5 Cd 2.89-3.09
Cd  0.0000  0.6585  0.5000  5 Cd 2.89-3.09
Cd  0.5000  0.0000  0.3415  5 Cd 2.89-3.09
Cd  0.5000  0.0000  0.6585  5 Cd 2.89-3.09
Cd  0.3415  0.5000  0.0000  5 Cd 2.89-3.09
Cd  0.6585  0.5000  0.0000  5 Cd 2.89-3.09
Cd  0.7185  0.2815  0.2815  6 Cd 3.01
Cd  0.2815  0.2815  0.7185  6 Cd 3.01
Cd  0.2815  0.7185  0.2815  6 Cd 3.01
Cd  0.7185  0.7185  0.7185  6 Cd 3.01
Cd  0.2815  0.7185  0.7185  6 Cd 3.01
Cd  0.7185  0.7185  0.2815  6 Cd 3.01
Cd  0.7185  0.2815  0.7185  6 Cd 3.01
Cd  0.2815  0.2815  0.2815  6 Cd 3.01

Calculated values
Space-group type: Pm-3 (200)
Calculated total energy: -1.057 eV/atom
N(E_F): 3.924 states/eV/f.u.
ΔE_f: -1.03 eV per formula unit


Entry 5:
Below is TlCO2F after structural relaxation, with properties calculated at the PBE level.

Cell lengths 3.6922, 3.6922, 3.8320 Å; angles 90.00, 90.00, 90.00 degrees
With the nearest neighbours (Å) after each atom.
Fractional coordinates of all 5 atoms:
Tl  0.5000  0.5000  0.5000  4 F 2.61, 8 O 2.66
C  0.0000  0.0000  0.0000  4 O 1.85, 2 F 1.92
O  0.0000  0.5000  0.0000  2 C 1.85
O  0.5000  0.0000  0.0000  2 C 1.85
F  0.0000  0.0000  0.5000  2 C 1.92

Calculated values
Space-group type: P4/mmm (123)
E_form (uncorrected): 388 meV/atom
Calculated total energy: -4.288 eV/atom
N(E_F): 1.193 states/eV/f.u.


Entry 6:
Below is TbTm4Te5 after structural relaxation, with properties calculated at the PBE level.

Cell lengths 4.2671, 4.2671, 15.9320 Å; angles 97.70, 97.70, 90.00 degrees
With the nearest neighbours (Å) after each atom.
Fractional coordinates of all 10 atoms:
Tb  0.0000  0.0000  0.0000  6 Te 3.02-3.26
Tm  0.4070  0.4070  0.8139  6 Te 2.91-3.11
Tm  0.7891  0.7891  0.5783  6 Te 3.02-3.33
Tm  0.2109  0.2109  0.4217  6 Te 3.02-3.33
Tm  0.5930  0.5930  0.1861  6 Te 2.91-3.11
Te  0.1043  0.1043  0.2085  5 Tm 3.04-3.33, 1 Tb 3.26
Te  0.5000  0.5000  0.0000  2 Tm 2.91, 4 Tb 3.02
Te  0.8957  0.8957  0.7915  5 Tm 3.04-3.33, 1 Tb 3.26
Te  0.3075  0.3075  0.6150  6 Tm 3.02-3.11
Te  0.6925  0.6925  0.3850  6 Tm 3.02-3.11

Calculated values
Space-group type: I4/mmm (139)
E_form (uncorrected): -1201 meV/atom
Calculated total energy: -5.024 eV/atom
N(E_F): 5.139 states/eV/f.u.
E above lowest polymorph: 0 meV/atom


Entry 7:
Below is Tb2Si4OsPt3 after structural relaxation, with properties calculated at the PBE level.

Cell lengths 4.1525, 4.1525, 9.9619 Å; angles 90.00, 90.00, 90.00 degrees
With the nearest neighbours (Å) after each atom.
Fractional coordinates of all 10 atoms:
Tb  0.5000  0.0000  0.2465  6 Pt 3.17-3.27, 8 Si 3.18-3.22, 2 Os 3.27
Tb  0.0000  0.5000  0.7535  6 Pt 3.17-3.27, 8 Si 3.18-3.22, 2 Os 3.27
Si  0.5000  0.5000  0.0000  4 Pt 2.43
Si  0.0000  0.0000  0.0000  4 Pt 2.43
Si  0.5000  0.0000  0.6304  3 Pt 2.41-2.45, 2 Os 2.45
Si  0.0000  0.5000  0.3696  3 Pt 2.41-2.45, 2 Os 2.45
Os  0.5000  0.5000  0.5000  4 Si 2.45
Pt  0.0000  0.0000  0.5000  4 Si 2.45
Pt  0.5000  0.0000  0.8724  5 Si 2.41-2.43
Pt  0.0000  0.5000  0.1276  5 Si 2.41-2.43

Calculated values
Space-group type: P-4m2 (115)
E_form (uncorrected): -1040 meV/atom
Calculated total energy: -7.070 eV/atom
N(E_F): 2.452 states/eV/f.u.


Entry 8:
Below is Mg2TaFe after structural relaxation, with properties calculated at the PBE level.

Cell lengths 4.6795, 2.7742, 5.3255 Å; angles 76.64, 90.00, 90.00 degrees
With the nearest neighbours (Å) after each atom.
Fractional coordinates of all 4 atoms:
Fe  0.5000  0.7500  0.7500  2 Ta 2.70, 4 Mg 2.76, 2 Fe 2.77
Mg  0.0000  0.9269  0.9868  5 Mg 2.74-2.91, 2 Fe 2.76, 2 Ta 2.97
Mg  0.0000  0.5731  0.5132  5 Mg 2.74-2.91, 2 Fe 2.76, 2 Ta 2.97
Ta  0.5000  0.2500  0.2500  2 Fe 2.70, 2 Ta 2.77, 4 Mg 2.97

Calculated values
Space-group type: P2/m (10)
Calculated total energy: -5.538 eV/atom
N(E_F): 2.874 states/eV/f.u.
E above lowest polymorph: 248 meV/atom
ΔE_f: 1.35 eV per formula unit


Entry 9:
Below is La5HoTl2 after structural relaxation, with properties calculated at the PBE level.

Cell lengths 5.6646, 5.6646, 20.5598 Å; angles 90.00, 90.00, 120.00 degrees
With the nearest neighbours (Å) after each atom.
Fractional coordinates of all 16 atoms:
La  0.0000  0.0000  0.3393  3 Tl 3.51, 7 La 3.67-3.85, 3 Ho 3.75
La  0.0000  0.0000  0.1607  3 Tl 3.51, 7 La 3.67-3.85, 3 Ho 3.75
La  0.6667  0.3333  0.2500  3 Ho 3.27
La  0.0000  0.0000  0.8393  3 Tl 3.51, 7 La 3.67-3.85, 3 Ho 3.75
La  0.6667  0.3333  0.0617  4 Tl 3.29-3.36
La  0.3333  0.6667  0.7500  3 Ho 3.27
La  0.3333  0.6667  0.9383  4 Tl 3.29-3.36
La  0.3333  0.6667  0.5617  4 Tl 3.29-3.36
La  0.6667  0.3333  0.4383  4 Tl 3.29-3.36
La  0.0000  0.0000  0.6607  3 Tl 3.51, 7 La 3.67-3.85, 3 Ho 3.75
Ho  0.3333  0.6667  0.2500  2 Tl 3.12, 3 La 3.27
Ho  0.6667  0.3333  0.7500  2 Tl 3.12, 3 La 3.27
Tl  0.6667  0.3333  0.5982  1 Ho 3.12, 4 La 3.29-3.36
Tl  0.3333  0.6667  0.0982  1 Ho 3.12, 4 La 3.29-3.36
Tl  0.3333  0.6667  0.4018  1 Ho 3.12, 4 La 3.29-3.36
Tl  0.6667  0.3333  0.9018  1 Ho 3.12, 4 La 3.29-3.36

Calculated values
Space-group type: P6_3/mmc (194)
Calculated total energy: -4.354 eV/atom
N(E_F): 14.157 states/eV/f.u.
ΔE_f: -0.88 eV per formula unit


Entry 10:
Below is Cs2RbGaAg after structural relaxation, with properties calculated at the PBE level.

Cell lengths 7.4817, 7.4817, 5.1252 Å; angles 90.00, 90.00, 90.00 degrees
With the nearest neighbours (Å) after each atom.
Fractional coordinates of all 5 atoms:
Cs  0.0000  0.5000  0.0000  2 Ag 3.74
Cs  0.5000  0.0000  0.0000  2 Ag 3.74
Ga  0.0000  0.0000  0.5000  2 Ag 2.56
Rb  0.5000  0.5000  0.5000  8 Cs 4.53
Ag  0.0000  0.0000  0.0000  2 Ga 2.56

Calculated values
Space-group type: P4/mmm (123)
Calculated total energy: -1.588 eV/atom
N(E_F): 4.743 states/eV/f.u.
E above lowest polymorph: 0 meV/atom
ΔE_f: 0.61 eV per formula unit


Entry 11:
Below is Al2HgOs2 after structural relaxation, with properties calculated at the PBE level.

Cell lengths 7.1972, 7.1972, 3.0879 Å; angles 90.00, 90.00, 90.00 degrees
With the nearest neighbours (Å) after each atom.
Fractional coordinates of all 10 atoms:
Os  0.3551  0.8551  0.0000  6 Al 2.61-2.62, 2 Hg 2.76
Os  0.8551  0.6449  0.0000  6 Al 2.61-2.62, 2 Hg 2.76
Os  0.6449  0.1449  0.0000  6 Al 2.61-2.62, 2 Hg 2.76
Os  0.1449  0.3551  0.0000  6 Al 2.61-2.62, 2 Hg 2.76
Hg  0.0000  0.0000  0.0000  4 Os 2.76, 2 Hg 3.09
Hg  0.5000  0.5000  0.0000  4 Os 2.76, 2 Hg 3.09
Al  0.1472  0.6472  0.5000  6 Os 2.61-2.62
Al  0.6472  0.8528  0.5000  6 Os 2.61-2.62
Al  0.8528  0.3528  0.5000  6 Os 2.61-2.62
Al  0.3528  0.1472  0.5000  6 Os 2.61-2.62

Calculated values
Space-group type: P4/mbm (127)
Calculated total energy: -5.995 eV/atom
N(E_F): 1.268 states/eV/f.u.
ΔE_f: 0.27 eV per formula unit


Repeat the fifth record exactly.
Below is TlCO2F after structural relaxation, with properties calculated at the PBE level.

Cell lengths 3.6922, 3.6922, 3.8320 Å; angles 90.00, 90.00, 90.00 degrees
With the nearest neighbours (Å) after each atom.
Fractional coordinates of all 5 atoms:
Tl  0.5000  0.5000  0.5000  4 F 2.61, 8 O 2.66
C  0.0000  0.0000  0.0000  4 O 1.85, 2 F 1.92
O  0.0000  0.5000  0.0000  2 C 1.85
O  0.5000  0.0000  0.0000  2 C 1.85
F  0.0000  0.0000  0.5000  2 C 1.92

Calculated values
Space-group type: P4/mmm (123)
E_form (uncorrected): 388 meV/atom
Calculated total energy: -4.288 eV/atom
N(E_F): 1.193 states/eV/f.u.


What did the tenth record say?
Below is Cs2RbGaAg after structural relaxation, with properties calculated at the PBE level.

Cell lengths 7.4817, 7.4817, 5.1252 Å; angles 90.00, 90.00, 90.00 degrees
With the nearest neighbours (Å) after each atom.
Fractional coordinates of all 5 atoms:
Cs  0.0000  0.5000  0.0000  2 Ag 3.74
Cs  0.5000  0.0000  0.0000  2 Ag 3.74
Ga  0.0000  0.0000  0.5000  2 Ag 2.56
Rb  0.5000  0.5000  0.5000  8 Cs 4.53
Ag  0.0000  0.0000  0.0000  2 Ga 2.56

Calculated values
Space-group type: P4/mmm (123)
Calculated total energy: -1.588 eV/atom
N(E_F): 4.743 states/eV/f.u.
E above lowest polymorph: 0 meV/atom
ΔE_f: 0.61 eV per formula unit


- Which of these has the highest calculated total energy?
  Na2Cd11


- Which formula does entry 8 have?
  Mg2TaFe